# LaCeN | Alexandria | PBE | relaxed
data_LaCeN
_chemical_formula_sum 'La4 Ce4 N4'
_space_group_name_H-M_alt 'C m c m'
_space_group_IT_number 63
_space_group_name_Hall '-C 2c 2'
_cell_length_a 3.427
_cell_length_b 12.069
_cell_length_c 5.794
_cell_angle_alpha 90.00
_cell_angle_beta 90.00
_cell_angle_gamma 90.00
loop_
_atom_site_label
_atom_site_fract_x
_atom_site_fract_y
_atom_site_fract_z
La1 0.000 0.170 0.250
Ce1 0.000 0.457 0.250
N1 0.000 0.177 0.750
# Final energy: -0.528 Ry per atom
# Raw formation energy: -0.79 eV per atom
# Distance to the lowest polymorph of the same formula: 76.9 meV/atom
# Total magnetization: 0.0 μB/cell
# DOS at the Fermi energy: 3.34 states/eV/f.u.